# 1
## NbTl3In (PBE)

Data for a geometry-optimized NbTl3In structure.

Output
Space group: Pm-3m, No. 221
DFT formation energy in eV/atom: 1.3743
Excess energy over the best structure of this formula in the dataset in eV per atom: 0.8328

Cell lengths 5.570, 5.570, 5.570 Å; angles 90.00, 90.00, 90.00 degrees
Atoms (fractional coordinates):
Nb 0.000 0.000 0.000
Tl 0.000 0.500 0.500
Tl 0.500 0.000 0.500
Tl 0.500 0.500 0.000
In 0.500 0.500 0.500

# 2
## Pr5Er2Tm3 (PBE)

Data for a geometry-optimized Pr5Er2Tm3 structure.

Output
Space group: C2/c, No. 15
DFT formation energy in eV/atom: 0.1737

Cell lengths 9.181, 9.181, 10.041 Å; angles 108.14, 108.14, 108.60 degrees
Atoms (fractional coordinates):
Pr 0.021 0.979 0.750
Pr 0.137 0.374 0.758
Pr 0.231 0.769 0.750
Pr 0.271 0.729 0.250
Pr 0.374 0.137 0.258
Pr 0.626 0.863 0.742
Pr 0.729 0.271 0.750
Pr 0.769 0.231 0.250
Pr 0.863 0.626 0.242
Pr 0.979 0.021 0.250
Er 0.225 0.465 0.442
Er 0.465 0.225 0.942
Er 0.535 0.775 0.058
Er 0.775 0.535 0.558
Tm 0.030 0.278 0.059
Tm 0.278 0.030 0.559
Tm 0.477 0.523 0.250
Tm 0.523 0.477 0.750
Tm 0.722 0.970 0.441
Tm 0.970 0.722 0.941

# 3
## PuTlCu (PBE)

Data for a geometry-optimized PuTlCu structure.

Output
Space group: I4mm, No. 107
DFT formation energy in eV/atom: 0.1229

Cell lengths 6.527, 6.527, 6.527 Å; angles 150.70, 150.70, 41.91 degrees
Atoms (fractional coordinates):
Pu 0.000 0.000 0.000
Tl 0.294 0.294 0.000
Cu 0.656 0.656 0.000

# 4
## CeSb4Pd6 (PBE)

Data for a geometry-optimized CeSb4Pd6 structure.

Output
Space group: P-6m2, No. 187
VASP energy in eV for the cell shown: -59.81

Cell lengths 7.724, 7.724, 4.255 Å; angles 90.00, 90.00, 120.00 degrees
Atoms (fractional coordinates):
Ce 0.000 0.000 0.000
Sb 0.333 0.667 0.000
Sb 0.376 0.188 0.500
Sb 0.812 0.188 0.500
Sb 0.812 0.624 0.500
Pd 0.204 0.408 0.500
Pd 0.204 0.796 0.500
Pd 0.539 0.078 0.000
Pd 0.539 0.461 0.000
Pd 0.592 0.796 0.500
Pd 0.922 0.461 0.000

# 5
## MgSc2O (PBE)

Data for a geometry-optimized MgSc2O structure.

Output
Space group: Fm-3m, No. 225
Excess energy over the best structure of this formula in the dataset in eV per atom: 1.4286

Cell lengths 4.718, 4.718, 4.718 Å; angles 60.00, 60.00, 60.00 degrees
Atoms (fractional coordinates):
Mg 0.000 0.000 0.000
Sc 0.250 0.250 0.250
Sc 0.750 0.750 0.750
O 0.500 0.500 0.500

# 6
## Rb2HO2 (PBE)

Data for a geometry-optimized Rb2HO2 structure.

Output
Space group: I4/mmm, No. 139
VASP energy in eV for the cell shown: -19.86

Cell lengths 6.518, 6.518, 6.518 Å; angles 143.77, 143.77, 52.17 degrees
Atoms (fractional coordinates):
Rb 0.144 0.144 0.000
Rb 0.856 0.856 0.000
H 0.500 0.500 0.000
O 0.396 0.396 0.000
O 0.604 0.604 0.000

# 7
## Sm2ScTi2Rh5 (PBE)

Data for a geometry-optimized Sm2ScTi2Rh5 structure.

Output
Space group: P4/mbm, No. 127
DFT formation energy in eV/atom: -0.6713

Cell lengths 10.251, 10.251, 3.515 Å; angles 90.00, 90.00, 90.00 degrees
Atoms (fractional coordinates):
Sm 0.177 0.323 0.000
Sm 0.323 0.823 0.000
Sm 0.677 0.177 0.000
Sm 0.823 0.677 0.000
Sc 0.000 0.000 0.000
Sc 0.500 0.500 0.000
Ti 0.123 0.623 0.000
Ti 0.377 0.123 0.000
Ti 0.623 0.877 0.000
Ti 0.877 0.377 0.000
Rh 0.000 0.500 0.500
Rh 0.062 0.792 0.500
Rh 0.208 0.062 0.500
Rh 0.292 0.562 0.500
Rh 0.438 0.292 0.500
Rh 0.500 0.000 0.500
Rh 0.562 0.708 0.500
Rh 0.708 0.438 0.500
Rh 0.792 0.938 0.500
Rh 0.938 0.208 0.500

# 8
## IrRh3 (PBE)

Data for a geometry-optimized IrRh3 structure.

Output
Space group: C2, No. 5
DFT formation energy in eV/atom: 0.0358

Cell lengths 5.186, 5.186, 2.741 Å; angles 105.17, 105.17, 54.31 degrees
Atoms (fractional coordinates):
Ir 0.000 0.000 0.000
Rh 0.414 0.082 0.749
Rh 0.502 0.498 0.500
Rh 0.918 0.586 0.251

Number 1: calculated density 7.889 g/cm³. Number 2: calculated density 7.566 g/cm³. Number 3: calculated density 12.793 g/cm³. Number 4: calculated density 9.560 g/cm³. Number 5: calculated density 2.911 g/cm³. Number 6: calculated density 3.521 g/cm³. Number 7: calculated density 8.594 g/cm³. Number 8: calculated density 14.537 g/cm³.